The following is a GGA-PBE calculation of a relaxed LiHoBiRh crystal, from Alexandria via LeMat-Bulk. Values from VASP.

The structure in Quantum ESPRESSO input format:
```
&SYSTEM
  ibrav = 0, nat = 16, ntyp = 4
/
ATOMIC_SPECIES
Li 6.94 Li.upf
Ho 164.93 Ho.upf
Bi 208.98 Bi.upf
Rh 102.91 Rh.upf
ATOMIC_POSITIONS crystal
Li 0.0000 0.0000 0.0000
Li 0.0000 0.5000 0.5000
Li 0.5000 0.0000 0.5000
Li 0.5000 0.5000 0.0000
Ho 0.2500 0.2500 0.2500
Ho 0.2500 0.7500 0.7500
Ho 0.7500 0.2500 0.7500
Ho 0.7500 0.7500 0.2500
Bi 0.2500 0.2500 0.7500
Bi 0.2500 0.7500 0.2500
Bi 0.7500 0.2500 0.2500
Bi 0.7500 0.7500 0.7500
Rh 0.0000 0.0000 0.5000
Rh 0.0000 0.5000 0.0000
Rh 0.5000 0.0000 0.0000
Rh 0.5000 0.5000 0.5000
CELL_PARAMETERS angstrom
6.7626 0.0000 0.0000
0.0000 6.7626 0.0000
0.0000 0.0000 6.7626
```

Properties
Space group: F-43m, No. 216
N(E_F), states/eV per cell: 1.87
E_form, eV per atom: -0.663
Total magnetic moment, μB/f.u.: 0.00